Entry 1:
Material: AlTcRh2
Method: DFT, GGA-PBE
State: optimized geometry

a b c (Å): 4.324 4.324 4.324
angles (deg): 60.00 60.00 60.00
Fractional positions:
Al 0.500 0.500 0.500
Rh 0.750 0.750 0.750
Rh 0.000 0.000 0.000
Tc 0.250 0.250 0.250

## Properties
* space-group type: F-43m (216)
* formation enthalpy at 0 K: -0.2303 eV/atom

=====

Entry 2:
Material: Al2TcRh
Method: DFT, GGA-PBE
State: optimized geometry

a b c (Å): 4.052 2.754 5.192
angles (deg): 85.06 90.00 90.00
Fractional positions:
Al 0.000 0.050 0.999
Tc 0.500 0.750 0.750
Rh 0.500 0.250 0.250
Al 0.000 0.450 0.501

## Properties
* energy relative to the lowest polymorph listed for this composition: 266 meV per atom
* space-group type: P2/m (10)
* formation enthalpy at 0 K: -0.4301 eV/atom

=====

Entry 3:
Material: Al2TcRh
Method: DFT, GGA-PBE
State: optimized geometry

a b c (Å): 4.346 4.346 4.346
angles (deg): 60.00 60.00 60.00
Fractional positions:
Al 0.000 0.000 0.000
Al 0.250 0.250 0.250
Rh 0.500 0.500 0.500
Tc 0.750 0.750 0.750

## Properties
* energy relative to the lowest polymorph listed for this composition: 470 meV per atom
* space-group type: F-43m (216)
* formation enthalpy at 0 K: -0.2261 eV/atom

=====

Entry 4:
Material: Al4TcRh
Method: DFT, GGA-PBE
State: optimized geometry

a b c (Å): 4.978 4.978 4.978
angles (deg): 60.00 60.00 60.00
Fractional positions:
Al 0.375 0.375 0.375
Rh 0.750 0.750 0.750
Al 0.875 0.375 0.375
Al 0.375 0.875 0.375
Al 0.375 0.375 0.875
Tc 0.000 0.000 0.000

## Properties
* space-group type: F-43m (216)
* formation enthalpy at 0 K: -0.0652 eV/atom

=====

Entry 5:
Material: Al2TcRh
Method: DFT, GGA-PBE
State: optimized geometry

a b c (Å): 8.349 8.349 8.349
angles (deg): 19.70 19.70 19.70
Fractional positions:
Al 0.502 0.502 0.502
Tc 0.750 0.750 0.750
Rh 0.250 0.250 0.250
Al 0.998 0.998 0.998

## Properties
* energy relative to the lowest polymorph listed for this composition: 245 meV per atom
* space-group type: R-3m (166)
* formation enthalpy at 0 K: -0.4507 eV/atom

=====

Entry 6:
Material: AlTcRh2
Method: DFT, GGA-PBE
State: optimized geometry

a b c (Å): 3.761 2.776 6.094
angles (deg): 63.08 90.00 90.00
Fractional positions:
Tc 0.500 0.250 0.250
Rh 0.000 0.501 0.500
Rh 0.000 0.999 0.000
Al 0.500 0.750 0.750

## Properties
* space-group type: P2/m (10)
* formation enthalpy at 0 K: -0.4096 eV/atom

=====

Entry 7:
Material: Al2TcRh
Method: DFT, GGA-PBE
State: optimized geometry

a b c (Å): 4.257 2.802 5.000
angles (deg): 73.64 90.00 90.00
Fractional positions:
Tc 0.500 0.778 0.821
Al 0.500 0.038 0.298
Al 0.000 0.212 0.953
Rh 0.000 0.472 0.429

## Properties
* energy relative to the lowest polymorph listed for this composition: 207 meV per atom
* space-group type: Pm (6)
* formation enthalpy at 0 K: -0.4891 eV/atom

=====

Entry 8:
Material: AlTc2Rh
Method: DFT, GGA-PBE
State: optimized geometry

a b c (Å): 4.725 4.725 4.725
angles (deg): 131.71 131.71 70.69
Fractional positions:
Al 0.500 0.500 0.000
Tc 0.000 0.000 0.000
Tc 0.250 0.750 0.500
Rh 0.750 0.250 0.500

## Properties
* space-group type: I-4m2 (119)
* formation enthalpy at 0 K: -0.2056 eV/atom

=====

Entry 9:
Material: Al2TcRh
Method: DFT, GGA-PBE
State: optimized geometry

a b c (Å): 8.732 8.732 8.732
angles (deg): 18.60 18.60 18.60
Fractional positions:
Al 0.002 0.002 0.002
Rh 0.501 0.501 0.501
Al 0.246 0.246 0.246
Tc 0.751 0.751 0.751

## Properties
* energy relative to the lowest polymorph listed for this composition: 423 meV per atom
* space-group type: R3m (160)
* formation enthalpy at 0 K: -0.2731 eV/atom

=====

Entry 10:
Material: Al8TcRh2
Method: DFT, GGA-PBE
State: optimized geometry

a b c (Å): 4.119 7.447 6.884
angles (deg): 122.74 107.41 90.00
Fractional positions:
Rh 0.797 0.297 0.594
Al 0.341 0.560 0.682
Al 0.341 0.122 0.682
Al 0.000 0.313 0.000
Al 0.659 0.440 0.318
Tc 0.500 0.000 0.000
Al 0.659 0.878 0.318
Rh 0.203 0.703 0.406
Al 0.860 0.860 0.720
Al 0.000 0.687 0.000
Al 0.140 0.140 0.280

## Properties
* space-group type: Immm (71)
* formation enthalpy at 0 K: -0.6034 eV/atom

=====

Entry 11:
Material: AlTc2Rh
Method: DFT, GGA-PBE
State: optimized geometry

a b c (Å): 4.404 3.619 3.619
angles (deg): 90.00 90.00 90.00
Fractional positions:
Al 0.500 0.500 0.000
Tc 0.000 0.500 0.500
Tc 0.000 0.000 0.000
Rh 0.500 0.000 0.500

## Properties
* space-group type: P4/mmm (123)
* formation enthalpy at 0 K: -0.2278 eV/atom

=====

Entry 12:
Material: Al2TcRh
Method: DFT, GGA-PBE
State: optimized geometry

a b c (Å): 4.948 4.948 4.497
angles (deg): 72.05 72.05 33.07
Fractional positions:
Al 0.993 0.993 0.069
Tc 0.244 0.244 0.180
Al 0.759 0.759 0.677
Rh 0.503 0.503 0.574

## Properties
* energy relative to the lowest polymorph listed for this composition: 111 meV per atom
* space-group type: Cm (8)
* formation enthalpy at 0 K: -0.5850 eV/atom

=====

Entry 13:
Material: AlTcRh2
Method: DFT, GGA-PBE
State: optimized geometry

a b c (Å): 8.717 8.717 8.717
angles (deg): 18.37 18.37 18.37
Fractional positions:
Rh 0.247 0.247 0.247
Rh 0.005 0.005 0.005
Al 0.748 0.748 0.748
Tc 0.500 0.500 0.500

## Properties
* space-group type: R3m (160)
* formation enthalpy at 0 K: -0.2562 eV/atom

=====

Entry 14:
Material: AlTc2Rh
Method: DFT, GGA-PBE
State: optimized geometry

a b c (Å): 4.343 4.343 4.343
angles (deg): 60.00 60.00 60.00
Fractional positions:
Tc 0.000 0.000 0.000
Tc 0.250 0.250 0.250
Al 0.500 0.500 0.500
Rh 0.750 0.750 0.750

## Properties
* space-group type: F-43m (216)
* formation enthalpy at 0 K: -0.2133 eV/atom

=====

Entry 15:
Material: AlTcRh2
Method: DFT, GGA-PBE
State: optimized geometry

a b c (Å): 3.792 3.792 9.085
angles (deg): 77.95 77.95 90.00
Fractional positions:
Tc 0.000 0.000 0.000
Rh 0.127 0.625 0.250
Rh 0.623 0.125 0.250
Tc 0.750 0.250 0.500
Al 0.250 0.750 0.500
Al 0.500 0.500 0.000
Rh 0.375 0.377 0.750
Rh 0.875 0.873 0.750

## Properties
* space-group type: I-42d (122)
* formation enthalpy at 0 K: 0.1489 eV/atom